[1]
DFT (PBE) results for a geometry-optimized LaZr2HRh structure.

Structure (extended XYZ):
```
5
Lattice="4.987 0.000 0.000 0.000 5.912 0.000 0.000 0.000 4.987" Properties=species:S:1:pos:R:3 pbc="T T T"
La 0.000 2.956 0.000
Rh 0.000 0.000 0.000
Zr 0.000 0.000 2.494
Zr 2.494 0.000 0.000
H 2.494 2.956 2.494
```

**Space group**: P4/mmm (123)
**Raw total energy**: -0.4374 Ry per atom
**Mass density**: 4.8 g/cm³



[2]
DFT (PBE) results for a geometry-optimized SrMgScV2 structure.

Structure (extended XYZ):
```
5
Lattice="-0.417 -4.933 0.546 4.002 0.028 3.307 -3.145 0.687 3.800" Properties=species:S:1:pos:R:3 pbc="T T T"
V -0.209 -2.466 0.273
V -1.573 0.343 1.900
Sc 2.001 0.014 1.654
Sr 0.000 0.000 0.000
Mg 0.220 -2.109 3.827
```

**Space group**: P4/mmm (123)
**Formation energy**: 1.87 eV/atom
**Mass density**: 3.3 g/cm³



[3]
DFT (PBE) results for a geometry-optimized Tm4Ga12Re structure.

Structure (extended XYZ):
```
17
Lattice="7.007 0.000 -2.477 -3.504 6.068 -2.477 0.000 0.000 7.432" Properties=species:S:1:pos:R:3 pbc="T T T"
Tm -1.752 3.034 -1.239
Tm 3.504 0.000 -1.239
Tm 0.000 0.000 3.716
Tm 1.752 3.034 1.239
Ga 0.000 3.034 3.716
Ga 2.478 4.293 -3.505
Ga -1.025 1.776 1.450
Ga 1.025 1.776 -1.450
Ga 2.051 0.000 1.450
Ga 4.957 0.000 3.505
Ga -0.876 4.551 1.239
Ga 4.380 1.517 1.239
Ga 0.876 4.551 -1.239
Ga -2.478 4.293 3.505
Ga 2.628 1.517 3.716
Ga 3.504 3.034 -1.239
Re 0.000 0.000 0.000
```

**Space group**: Im-3m (229)
**Formation energy**: -0.48 eV/atom
**Mass density**: 8.9 g/cm³



[4]
DFT (PBE) results for a geometry-optimized LaTb2CeEr structure.

Structure (extended XYZ):
```
10
Lattice="6.201 0.000 0.000 0.000 8.494 1.367 0.000 -1.257 6.003" Properties=species:S:1:pos:R:3 pbc="T T T"
La 0.000 0.000 0.000
La 0.000 -0.628 3.002
Ce 3.325 -0.314 1.501
Ce 2.876 -0.943 4.502
Er 5.105 3.933 2.184
Er 1.096 3.304 5.186
Tb 4.274 1.731 4.845
Tb 4.274 4.878 5.527
Tb 1.927 2.359 1.843
Tb 1.927 5.506 2.526
```

**Space group**: P2/c (13)
**Formation energy**: 0.28 eV/atom
**Mass density**: 7.8 g/cm³



[5]
DFT (PBE) results for a geometry-optimized Ac2PrThPt4 structure.

Structure (extended XYZ):
```
8
Lattice="-2.781 2.346 2.274 -5.124 -0.885 -5.352 -0.623 -5.532 4.944" Properties=species:S:1:pos:R:3 pbc="T T T"
Ac -1.702 -1.593 3.609
Ac -2.873 -3.208 -0.204
Pt -2.830 -0.354 0.952
Pt -5.697 -3.717 0.915
Pt -3.926 -1.937 -2.803
Pt -1.820 -4.480 2.395
Pr 0.000 0.000 0.000
Th -3.952 0.730 -1.539
```

**Space group**: P2/m (10)
**Formation energy**: -1.16 eV/atom
**Mass density**: 11.9 g/cm³



[6]
DFT (PBE) results for a geometry-optimized ScRePb3 structure.

Structure (extended XYZ):
```
5
Lattice="-3.653 -3.876 0.124 3.078 -2.795 3.331 -2.358 2.356 4.156" Properties=species:S:1:pos:R:3 pbc="T T T"
Sc -1.466 -2.157 3.806
Pb -1.179 1.178 2.078
Pb 1.539 -1.397 1.665
Pb -1.827 -1.938 0.062
Re 0.000 0.000 0.000
```

**Space group**: Pm-3m (221)
**Formation energy**: 0.78 eV/atom
**Mass density**: 9.4 g/cm³
**Energy above the most stable polymorph in this dataset**: 0.000 eV per atom



[7]
DFT (PBE) results for a geometry-optimized BaScZn2 structure.

Structure (extended XYZ):
```
4
Lattice="-1.758 1.784 -2.524 1.244 -2.250 -2.457 -6.602 -4.894 1.138" Properties=species:S:1:pos:R:3 pbc="T T T"
Zn -0.085 -0.063 0.015
Zn -1.455 -1.121 -2.284
Sc -5.799 -4.341 -1.535
Ba -3.078 -2.281 0.531
```

**Space group**: P4mm (99)
**Formation energy**: 0.03 eV/atom
**Mass density**: 5.0 g/cm³
**Energy above the most stable polymorph in this dataset**: 0.218 eV per atom



[8]
DFT (PBE) results for a geometry-optimized AcNdAg2Ge2 structure.

Structure (extended XYZ):
```
6
Lattice="4.596 0.000 0.000 -2.298 3.980 0.000 0.000 0.000 8.114" Properties=species:S:1:pos:R:3 pbc="T T T"
Ag 2.298 1.327 2.222
Ag 0.000 2.653 5.892
Ge 0.000 2.653 2.144
Ge 2.298 1.327 5.970
Nd 0.000 0.000 4.057
Ac 0.000 0.000 0.000
```

**Space group**: P-3m1 (164)
**Formation energy**: -0.59 eV/atom
**Mass density**: 8.2 g/cm³



[9]
DFT (PBE) results for a geometry-optimized BeZn2Ir structure.

Structure (extended XYZ):
```
4
Lattice="2.856 0.000 0.000 0.000 3.685 0.000 0.000 0.000 5.003" Properties=species:S:1:pos:R:3 pbc="T T T"
Be 1.428 1.842 1.251
Zn 0.000 0.000 0.014
Zn 0.000 0.000 2.488
Ir 1.428 1.842 3.752
```

**Space group**: Pmmm (47)
**Formation energy**: -0.03 eV/atom
**Mass density**: 10.5 g/cm³



[10]
DFT (PBE) results for a geometry-optimized DyErSnHg structure.

Structure (extended XYZ):
```
4
Lattice="-2.840 1.259 2.161 -2.134 -2.925 -1.100 2.501 -3.921 5.573" Properties=species:S:1:pos:R:3 pbc="T T T"
Dy -0.975 -3.202 3.897
Sn 2.151 -3.371 4.792
Hg 0.883 -1.384 1.967
Er -2.209 -1.268 1.148
```

**Space group**: P4mm (99)
**Formation energy**: -0.54 eV/atom
**Mass density**: 10.4 g/cm³



[11]
DFT (PBE) results for a geometry-optimized Mo3W structure.

Structure (extended XYZ):
```
16
Lattice="-4.107 -3.419 -0.382 0.888 -0.060 -9.020 3.388 -4.111 0.361" Properties=species:S:1:pos:R:3 pbc="T T T"
Mo 2.083 -4.625 0.230
Mo 0.831 -2.602 -4.461
Mo -0.661 -4.988 -4.579
Mo -0.380 -2.882 -6.849
Mo -2.661 -4.316 -7.064
Mo -1.914 -2.966 -9.270
Mo 0.550 -4.709 -2.191
Mo 1.274 -2.632 -8.958
Mo -2.357 -2.935 -4.773
Mo 2.830 -3.275 -1.976
Mo 2.526 -4.655 -4.267
Mo -1.104 -4.958 -0.082
W -1.109 -2.637 -2.368
W 1.278 -4.953 -6.672
W -0.989 -6.404 -6.885
W 1.159 -1.187 -2.155
```

**Space group**: Pnma (62)
**Formation energy**: 0.22 eV/atom
**Mass density**: 12.1 g/cm³
**Energy above the most stable polymorph in this dataset**: 0.240 eV per atom



[12]
DFT (PBE) results for a geometry-optimized IrWCl2 structure.

Structure (extended XYZ):
```
4
Lattice="-2.172 0.569 1.930 2.585 -1.209 0.789 4.320 10.409 1.792" Properties=species:S:1:pos:R:3 pbc="T T T"
Ir 1.287 2.282 1.808
Cl 2.487 5.993 1.032
Cl 3.993 9.621 1.657
W 3.446 7.487 2.704
```

**Space group**: Cmmm (65)
**Mass density**: 8.9 g/cm³
**Energy above the most stable polymorph in this dataset**: 0.941 eV per atom
**Uncorrected formation energy**: 755.5 meV per atom



[13]
DFT (PBE) results for a geometry-optimized Ac8NiRu3 structure.

Structure (extended XYZ):
```
12
Lattice="8.693 -0.006 0.001 -4.352 6.199 -4.259 0.002 -0.389 8.274" Properties=species:S:1:pos:R:3 pbc="T T T"
Ru 2.171 3.096 -2.129
Ru 4.346 -0.003 0.001
Ru -2.176 3.100 -2.130
Ac 2.138 6.028 -2.263
Ac 6.490 -0.227 6.281
Ac 4.346 2.823 4.181
Ac -2.147 6.031 -2.265
Ac 4.344 2.959 -0.119
Ac -0.003 2.980 -0.165
Ac 2.205 -0.224 6.279
Ac -0.001 2.845 4.135
Ni 0.000 0.000 0.000
```

**Space group**: C2/m (12)
**Formation energy**: -0.20 eV/atom
**Mass density**: 8.4 g/cm³



[14]
DFT (PBE) results for a geometry-optimized TbTm2Tl2Zn2 structure.

Structure (extended XYZ):
```
7
Lattice="4.765 0.000 0.000 2.383 4.127 0.000 2.383 1.376 8.789" Properties=species:S:1:pos:R:3 pbc="T T T"
Tl 7.148 4.127 7.025
Tl 2.383 1.376 1.764
Zn 4.765 2.751 2.467
Zn 4.765 2.751 6.322
Tm 7.148 4.127 3.460
Tm 2.383 1.376 5.330
Tb 0.000 0.000 0.000
```

**Space group**: R-3m (166)
**Formation energy**: -0.13 eV/atom
**Mass density**: 10.0 g/cm³



[15]
DFT (PBE) results for a geometry-optimized ThZnAu structure.

Structure (extended XYZ):
```
3
Lattice="-2.232 -2.531 -0.849 2.015 -0.357 -4.231 1.583 -2.597 3.583" Properties=species:S:1:pos:R:3 pbc="T T T"
Au 1.354 -2.273 0.837
Th 0.383 -2.791 -2.192
Zn -0.371 -0.421 -0.141
```

**Space group**: P-6m2 (187)
**Formation energy**: -0.55 eV/atom
**Mass density**: 12.3 g/cm³



[16]
DFT (PBE) results for a geometry-optimized Ce2CdGa3Cu4 structure.

Structure (extended XYZ):
```
10
Lattice="4.274 0.000 0.000 0.000 4.274 0.000 0.000 0.000 10.204" Properties=species:S:1:pos:R:3 pbc="T T T"
Cu 2.137 2.137 0.000
Cu 0.000 2.137 3.634
Cu 0.000 0.000 0.000
Cu 2.137 0.000 6.569
Ga 0.000 2.137 1.253
Ga 2.137 0.000 8.950
Ga 0.000 0.000 5.102
Ce 0.000 2.137 7.813
Ce 2.137 0.000 2.391
Cd 2.137 2.137 5.102
```

**Space group**: P-4m2 (115)
**Formation energy**: -0.30 eV/atom
**Mass density**: 7.6 g/cm³



[17]
DFT (PBE) results for a geometry-optimized AsIrCl structure.

Structure (extended XYZ):
```
6
Lattice="-0.166 1.000 -3.234 3.169 -3.501 -3.023 -3.408 -6.511 -1.846" Properties=species:S:1:pos:R:3 pbc="T T T"
As -0.921 -3.920 -2.056
As 0.516 -5.093 -6.047
Cl -2.450 -6.403 -4.522
Cl 2.045 -2.610 -3.581
Ir -0.174 -7.078 -4.849
Ir -0.231 -1.935 -3.254
```

**Space group**: C2/m (12)
**Mass density**: 8.1 g/cm³
**Energy above the most stable polymorph in this dataset**: 0.000 eV per atom
**Uncorrected formation energy**: -168.0 meV per atom



[18]
DFT (PBE) results for a geometry-optimized Ba2CaMo2 structure.

Structure (extended XYZ):
```
5
Lattice="-1.940 2.212 4.136 -2.845 -4.113 0.865 2.978 -3.814 6.551" Properties=species:S:1:pos:R:3 pbc="T T T"
Mo -1.646 -1.348 3.063
Mo -0.160 -4.366 8.489
Ca 0.000 0.000 0.000
Ba -0.677 -1.276 6.594
Ba -1.130 -4.438 4.959
```

**Space group**: I4/mmm (139)
**Formation energy**: 1.03 eV/atom
**Mass density**: 4.5 g/cm³
**Energy above the most stable polymorph in this dataset**: 0.165 eV per atom



[19]
DFT (PBE) results for a geometry-optimized ZnFe4As structure.

Structure (extended XYZ):
```
6
Lattice="0.000 3.399 3.399 3.399 0.000 3.399 3.399 3.399 0.000" Properties=species:S:1:pos:R:3 pbc="T T T"
Fe 4.245 4.245 2.554
Fe 2.554 2.554 2.554
Fe 2.554 4.245 4.245
Fe 4.245 2.554 4.245
As 0.000 0.000 0.000
Zn 5.099 5.099 5.099
```

**Space group**: F-43m (216)
**Formation energy**: 0.23 eV/atom
**Mass density**: 7.7 g/cm³



[20]
DFT (PBE) results for a geometry-optimized FeMoCl2 structure.

Structure (extended XYZ):
```
4
Lattice="4.126 0.000 0.000 0.000 2.898 -0.017 0.000 -1.331 5.571" Properties=species:S:1:pos:R:3 pbc="T T T"
Fe 2.063 0.392 1.388
Cl 0.000 1.107 2.760
Cl 0.000 2.574 0.000
Mo 2.063 1.175 4.165
```

**Space group**: P2/m (10)
**Mass density**: 5.6 g/cm³
**Energy above the most stable polymorph in this dataset**: 0.640 eV per atom
**Uncorrected formation energy**: 431.8 meV per atom